No. 1
# BeTl2

A relaxed structure of BeTl2 (GGA-PBEsol, the Alexandria database).

Results
Final energy ... -0.099 Ha/atom
Theoretical density ... 10.35 g cm⁻³
E_form ... 406 meV per atom
Total magnetization ... 0.0 Bohr magnetons per cell

a = 6.1025 Å, b = 6.2884 Å, c = 3.4917 Å
α = 90.00°, β = 90.00°, γ = 90.00°
With the nearest neighbours (Å) after each atom.
Space group Pnnm (No. 58)
Unique sites:
Be  0.0000  0.0000  0.0000 (multiplicity 2)  6 Tl 2.49-2.60
Tl  0.2467  0.3162  0.0000 (multiplicity 4)  3 Be 2.49-2.60

No. 2
# Be2Tl

A relaxed structure of Be2Tl (GGA-PBEsol, the Alexandria database).

Results
Final energy ... -0.105 Ha/atom
Theoretical density ... 8.24 g cm⁻³
E_form ... 693 meV per atom
Offset from the most stable computed form ... 0.66 eV/f.u.
Total magnetization ... 0.0 Bohr magnetons per cell

a = 3.8482 Å, b = 3.8482 Å, c = 3.4944 Å
α = 90.00°, β = 90.00°, γ = 120.00°
With the nearest neighbours (Å) after each atom.
Space group P6/mmm (No. 191)
Unique sites:
Be  0.3333  0.6667  0.0000 (multiplicity 2)  3 Be 2.22
Tl  0.0000  0.0000  0.5000 (multiplicity 1)  12 Be 2.83

No. 3
# Be2Tl

A relaxed structure of Be2Tl (GGA-PBEsol, the Alexandria database).

Results
Final energy ... -0.102 Ha/atom
Theoretical density ... 8.39 g cm⁻³
E_form ... 772 meV per atom
Offset from the most stable computed form ... 0.89 eV/f.u.
Total magnetization ... 0.0 Bohr magnetons per cell

a = 3.2460 Å, b = 13.5290 Å, c = 4.0096 Å
α = 90.00°, β = 90.00°, γ = 90.00°
With the nearest neighbours (Å) after each atom.
Space group Cmcm (No. 63)
Unique sites:
Be  0.0000  0.0500  0.2500 (multiplicity 4)  2 Be 2.42
Be  0.0000  0.2763  0.7500 (multiplicity 4)  4 Tl 2.49-2.73, 4 Be 2.68
Tl  0.0000  0.3860  0.2500 (multiplicity 4)  10 Be 2.49-2.75

No. 4
# BeTl

A relaxed structure of BeTl (GGA-PBEsol, the Alexandria database).

Results
Final energy ... -0.100 Ha/atom
Theoretical density ... 9.51 g cm⁻³
E_form ... 604 meV per atom
Offset from the most stable computed form ... 0.21 eV/f.u.
Total magnetization ... 0.0 Bohr magnetons per cell

a = 12.6142 Å, b = 3.0300 Å, c = 4.0956 Å
α = 90.00°, β = 107.74°, γ = 90.00°
With the nearest neighbours (Å) after each atom.
Space group C2/m (No. 12)
Unique sites:
Be  0.1819  0.0000  0.4374 (multiplicity 4)  2 Be 2.23
Tl  0.1108  0.5000  0.8684 (multiplicity 4)  4 Be 2.68-2.69

No. 5
# BeTl

A relaxed structure of BeTl (GGA-PBEsol, the Alexandria database).

Results
Final energy ... -0.104 Ha/atom
Theoretical density ... 9.28 g cm⁻³
E_form ... 498 meV per atom
Offset from the most stable computed form ... 0.00 eV/f.u.
Total magnetization ... 0.0 Bohr magnetons per cell

a = 2.9829 Å, b = 2.9829 Å, c = 8.5831 Å
α = 90.00°, β = 90.00°, γ = 90.00°
With the nearest neighbours (Å) after each atom.
Space group P4/nmm (No. 129, origin choice 2)
Unique sites:
Be  0.2500  0.2500  0.0442 (multiplicity 2)  4 Be 2.24
Tl  0.2500  0.2500  0.6897 (multiplicity 2)  4 Tl 2.98, 5 Be 3.04-3.11

No. 6
# BeTlW

A relaxed structure of BeTlW (GGA-PBEsol, the Alexandria database).

Results
Final energy ... -0.191 Ha/atom
Theoretical density ... 11.20 g cm⁻³
E_form ... 1616 meV per atom
Offset from the most stable computed form ... 1.47 eV/f.u.
Total magnetization ... 6.0 Bohr magnetons per cell

a = 6.1759 Å, b = 6.1759 Å, c = 6.1759 Å
α = 90.00°, β = 90.00°, γ = 90.00°
With the nearest neighbours (Å) after each atom.
Space group F-43m (No. 216)
Unique sites:
Be  0.0000  0.0000  0.0000 (multiplicity 4)  4 W 2.67
Tl  0.0000  0.0000  0.5000 (multiplicity 4)  4 W 2.67
W  0.2500  0.2500  0.2500 (multiplicity 4)  4 Tl 2.67, 4 Be 2.67

No. 7
# Be2TlW

A relaxed structure of Be2TlW (GGA-PBEsol, the Alexandria database).

Results
Final energy ... -0.201 Ha/atom
Theoretical density ... 12.10 g cm⁻³
E_form ... 649 meV per atom
Offset from the most stable computed form ... 0.64 eV/f.u.
Total magnetization ... 0.0 Bohr magnetons per cell

a = 2.9509 Å, b = 2.9509 Å, c = 6.4025 Å
α = 90.00°, β = 90.00°, γ = 90.00°
With the nearest neighbours (Å) after each atom.
Space group P4mm (No. 99)
Unique sites:
Be  0.0000  0.0000  0.0000 (multiplicity 1)  4 Be 2.31, 4 W 2.50
Be  0.5000  0.5000  0.1537 (multiplicity 1)  4 Be 2.31, 1 W 2.36
Tl  0.0000  0.0000  0.4441 (multiplicity 1)  5 Be 2.79-2.84, 4 Tl 2.95, 4 W 3.02
W  0.5000  0.5000  0.7856 (multiplicity 1)  5 Be 2.36-2.50

No. 8
# BeTlW

A relaxed structure of BeTlW (GGA-PBEsol, the Alexandria database).

Results
Final energy ... -0.209 Ha/atom
Theoretical density ... 13.57 g cm⁻³
E_form ... 1126 meV per atom
Offset from the most stable computed form ... 0.00 eV/f.u.
Total magnetization ... 4.1 Bohr magnetons per cell

a = 5.7936 Å, b = 5.7936 Å, c = 5.7936 Å
α = 90.00°, β = 90.00°, γ = 90.00°
With the nearest neighbours (Å) after each atom.
Space group F-43m (No. 216)
Unique sites:
Be  0.0000  0.0000  0.0000 (multiplicity 4)  4 Tl 2.51, 4 W 2.51
Tl  0.2500  0.2500  0.2500 (multiplicity 4)  4 Be 2.51
W  0.2500  0.2500  0.7500 (multiplicity 4)  4 Be 2.51

No. 9
# Be2TlW

A relaxed structure of Be2TlW (GGA-PBEsol, the Alexandria database).

Results
Final energy ... -0.207 Ha/atom
Theoretical density ... 11.71 g cm⁻³
E_form ... 490 meV per atom
Offset from the most stable computed form ... 0.00 eV/f.u.
Total magnetization ... 0.0 Bohr magnetons per cell

a = 3.0476 Å, b = 3.3013 Å, c = 5.7282 Å
α = 90.00°, β = 90.00°, γ = 90.00°
With the nearest neighbours (Å) after each atom.
Space group Pmmm (No. 47)
Unique sites:
Be  0.0000  0.0000  0.1763 (multiplicity 2)  1 Be 2.02
Tl  0.5000  0.5000  0.5000 (multiplicity 1)  2 W 2.86, 8 Be 2.91, 2 Tl 3.05
W  0.5000  0.5000  0.0000 (multiplicity 1)  8 Be 2.46

No. 10
# Y2BeTl

A relaxed structure of Y2BeTl (GGA-PBEsol, the Alexandria database).

Results
Final energy ... -0.190 Ha/atom
Theoretical density ... 7.16 g cm⁻³
E_form ... -97 meV per atom
Offset from the most stable computed form ... 0.40 eV/f.u.
Total magnetization ... 0.0 Bohr magnetons per cell

a = 3.5822 Å, b = 4.8592 Å, c = 10.4242 Å
α = 90.00°, β = 90.00°, γ = 90.00°
With the nearest neighbours (Å) after each atom.
Space group Imm2 (No. 44)
Unique sites:
Y  0.0000  0.0000  0.0000 (multiplicity 2)  4 Tl 3.10, 2 Be 3.20, 4 Y 3.36-3.40
Y  0.0000  0.5000  0.2226 (multiplicity 2)  4 Be 3.04, 2 Tl 3.27, 2 Y 3.36
Be  0.0000  0.5000  0.7541 (multiplicity 2)  2 Tl 2.58
Tl  0.0000  0.0000  0.4323 (multiplicity 2)  2 Be 2.58

No. 11
# Y2BeTl

A relaxed structure of Y2BeTl (GGA-PBEsol, the Alexandria database).

Results
Final energy ... -0.194 Ha/atom
Theoretical density ... 7.21 g cm⁻³
E_form ... -198 meV per atom
Offset from the most stable computed form ... 0.00 eV/f.u.
Total magnetization ... 0.0 Bohr magnetons per cell

a = 3.5003 Å, b = 3.5003 Å, c = 7.3580 Å
α = 90.00°, β = 90.00°, γ = 90.00°
With the nearest neighbours (Å) after each atom.
Space group P4/mmm (No. 123)
Unique sites:
Y  0.0000  0.0000  0.2190 (multiplicity 2)  4 Be 2.95, 1 Y 3.22, 4 Tl 3.23
Be  0.5000  0.5000  0.0000 (multiplicity 1)  8 Y 2.95
Tl  0.5000  0.5000  0.5000 (multiplicity 1)  8 Y 3.23, 4 Tl 3.50

No. 12
# YBeTl2

A relaxed structure of YBeTl2 (GGA-PBEsol, the Alexandria database).

Results
Final energy ... -0.145 Ha/atom
Theoretical density ... 9.35 g cm⁻³
E_form ... 74 meV per atom
Total magnetization ... 0.0 Bohr magnetons per cell

a = 3.5790 Å, b = 4.3456 Å, c = 5.8506 Å
α = 90.00°, β = 98.69°, γ = 90.00°
With the nearest neighbours (Å) after each atom.
Space group P2/m (No. 10)
Unique sites:
Y  0.0000  0.0000  0.0000 (multiplicity 1)  8 Tl 3.09-3.40, 2 Be 3.19
Be  0.5000  0.0000  0.5000 (multiplicity 1)  4 Tl 2.63
Tl  0.3527  0.5000  0.7243 (multiplicity 2)  2 Be 2.63